Ac6Cd2Ir3 after structural relaxation. Source: the Alexandria database, functional PBE.

ΔE_f (eV per formula unit): -5.525
Space group: C2/m, No. 12
Total DFT energy (no corrections) (eV per atom): -5.3263
Calculated volume (Å³ per atom): 37.5

Unit cell a=7.587 b=7.587 c=8.656 alpha=98.49 beta=98.49 gamma=120.00
Fractional positions:
1 Ac 0.061 0.398 0.193
2 Ac 0.265 0.265 0.809
3 Ac 0.398 0.061 0.193
4 Ac 0.602 0.939 0.807
5 Ac 0.735 0.735 0.191
6 Ac 0.939 0.602 0.807
7 Cd 0.165 0.835 0.500
8 Cd 0.835 0.165 0.500
9 Ir 0.000 0.000 0.000
10 Ir 0.333 0.667 0.000
11 Ir 0.667 0.333 0.000

***

Be2SiBiO after structural relaxation. Source: the Alexandria database, functional PBE.

Formation energy without anion corrections (eV/atom): 1.1354
Space group: P4/mmm, No. 123
Total DFT energy (no corrections) (eV per atom): -3.2076
Calculated volume (Å³ per atom): 19.8

Unit cell a=4.766 b=4.766 c=4.365 alpha=90.00 beta=90.00 gamma=90.00
Fractional positions:
1 Be 0.000 0.500 0.000
2 Be 0.500 0.000 0.000
3 Si 0.000 0.000 0.500
4 Bi 0.500 0.500 0.000
5 O 0.500 0.500 0.500

***

CdPt2Pb2 after structural relaxation. Source: the Alexandria database, functional PBE.

ΔE_f (eV per formula unit): 0.402
Polymorph energy (0 for the lowest one) (eV/atom): 0.212
Space group: I4/mmm, No. 139
Total DFT energy (no corrections) (eV per atom): -4.0023
Calculated volume (Å³ per atom): 25.2

Unit cell a=4.596 b=4.596 c=11.907 alpha=90.00 beta=90.00 gamma=90.00
Fractional positions:
1 Cd 0.000 0.000 0.000
2 Cd 0.500 0.500 0.500
3 Pt 0.000 0.000 0.392
4 Pt 0.000 0.000 0.608
5 Pt 0.500 0.500 0.108
6 Pt 0.500 0.500 0.892
7 Pb 0.000 0.500 0.250
8 Pb 0.000 0.500 0.750
9 Pb 0.500 0.000 0.250
10 Pb 0.500 0.000 0.750

***

LiTeRuN2 after structural relaxation. Source: the Alexandria database, functional PBE.

Formation energy without anion corrections (eV/atom): 1.8385
Polymorph energy (0 for the lowest one) (eV/atom): 1.387
Space group: P4/mmm, No. 123
Total DFT energy (no corrections) (eV per atom): -4.3579
Calculated volume (Å³ per atom): 13.5

Unit cell a=3.773 b=3.773 c=4.740 alpha=90.00 beta=90.00 gamma=90.00
Fractional positions:
1 Li 0.000 0.000 0.000
2 Te 0.000 0.000 0.500
3 Ru 0.500 0.500 0.500
4 N 0.000 0.500 0.000
5 N 0.500 0.000 0.000

***

Tb3Pr8Sm4 after structural relaxation. Source: the Alexandria database, functional PBE.

ΔE_f (eV per formula unit): 4.651
Polymorph energy (0 for the lowest one) (eV/atom): 0.177
Space group: C2/m, No. 12
Total DFT energy (no corrections) (eV per atom): -4.4235
Calculated volume (Å³ per atom): 35.3

Unit cell a=9.382 b=9.382 c=6.953 alpha=111.57 beta=111.57 gamma=82.25
Fractional positions:
1 Tb 0.000 0.000 0.000
2 Tb 0.000 0.500 0.500
3 Tb 0.500 0.000 0.500
4 Pr 0.203 0.203 0.697
5 Pr 0.204 0.796 0.500
6 Pr 0.253 0.253 0.245
7 Pr 0.253 0.747 0.000
8 Pr 0.747 0.253 0.000
9 Pr 0.747 0.747 0.755
10 Pr 0.796 0.204 0.500
11 Pr 0.797 0.797 0.303
12 Sm 0.000 0.500 0.000
13 Sm 0.500 0.000 0.000
14 Sm 0.500 0.500 0.000
15 Sm 0.500 0.500 0.500

***

LiSm3 after structural relaxation. Source: the Alexandria database, functional PBE.

ΔE_f (eV per formula unit): 0.749
Polymorph energy (0 for the lowest one) (eV/atom): 0.109
Space group: Fm-3m, No. 225
Total DFT energy (no corrections) (eV per atom): -3.8305
Calculated volume (Å³ per atom): 30.8

Unit cell a=7.902 b=7.902 c=7.902 alpha=90.00 beta=90.00 gamma=90.00
Fractional positions:
1 Li 0.000 0.000 0.000
2 Li 0.000 0.500 0.500
3 Li 0.500 0.000 0.500
4 Li 0.500 0.500 0.000
5 Sm 0.000 0.000 0.500
6 Sm 0.000 0.500 0.000
7 Sm 0.250 0.250 0.250
8 Sm 0.250 0.250 0.750
9 Sm 0.250 0.750 0.250
10 Sm 0.250 0.750 0.750
11 Sm 0.500 0.000 0.000
12 Sm 0.500 0.500 0.500
13 Sm 0.750 0.250 0.250
14 Sm 0.750 0.250 0.750
15 Sm 0.750 0.750 0.250
16 Sm 0.750 0.750 0.750